The following is a PBE with a Hubbard U calculation of a relaxed structure of NaPa2NiO8, from Alexandria via LeMat-Bulk.

The space group is P-3m1 (No. 164) and the conventional cell measures 5.0533, 5.0533 and 7.1977 Å, with angles of 90.00, 90.00 and 120.00 degrees. Symmetry generates all atoms from Na at (0.0000, 0.0000, 0.0000), Pa at (0.3333, 0.6667, 0.3505), Ni at (0.0000, 0.0000, 0.5000), O at (0.1721, 0.3442, 0.6436) and O at (0.3333, 0.6667, 0.0897).

The calculated volume is 159.2 Å³/f.u. The value obtained for the total magnetic moment is 0.000 μB/cell. The value obtained for the uncorrected energy is -88.115 eV/cell. The crystal system is trigonal.